{
  "formula": "K3HCl2",
  "functional": "PBE",
  "state": "optimized geometry",
  "lattice_angstrom": [[4.3442, 0.0000, 0.0000], [0.0000, 6.2551, 0.0000], [-2.1721, -3.1275, 6.5655]],
  "species": ["Cl", "H", "Cl", "K", "K", "K"],
  "fractional_positions": [[0.1692, 0.1692, 0.8384], [0.5000, 0.5000, 0.5000], [0.8308, 0.8308, 0.1616], [0.8472, 0.3472, 0.1944], [0.1528, 0.6528, 0.8056], [0.5000, 0.0000, 0.5000]],
  "relative_energy_mev_per_atom": 0,
  "magnetic_moment_mub_per_fu": 0.00,
  "final_energy_ev_per_cell": -18.50
}